1.
The following is a PBE-GGA calculation of crystalline Ba3Nb5S12 at its relaxed geometry, from Alexandria.

For the density of states at the Fermi level, the calculation gives 0.6680 states/eV/atom. The uncorrected formation energy is -1.17 eV per atom.

It has space group Ia-3d (No. 230), with a = 16.1150 Å, b = 16.1150 Å, c = 16.1150 Å, α = 90.00°, β = 90.00° and γ = 90.00°. The distinct sites, in fractional coordinates, are Ba at (0.0000, 0.2500, 0.1250), Nb at (0.0000, 0.0000, 0.0000), Nb at (0.0000, 0.2500, 0.3750) and S at (0.0370, 0.0467, 0.6450).

=====

2.
The following is a PBE-GGA calculation of crystalline Ca3BiIr at its relaxed geometry, from Alexandria.

As for the formation energy: -2.2 eV per formula unit. For the density of states at the Fermi level, the calculation gives 0.0404 states/eV/atom.

It has space group Pm-3m (No. 221), with a = 5.4160 Å, b = 5.4160 Å, c = 5.4160 Å, α = 90.00°, β = 90.00° and γ = 90.00°. The distinct sites, in fractional coordinates, are Ca at (0.0000, 0.0000, 0.5000), Bi at (0.5000, 0.5000, 0.5000) and Ir at (0.0000, 0.0000, 0.0000).